Below is a relaxed V5CoIr4 crystal, with properties calculated at the PBE level.

Calculated values
ΔE_f: -40.02 kJ/mol of atoms
theoretical density: 13.29 g/cm3
raw total energy: -92.29 eV for the cell shown
space-group type: P4/mmm, No. 123

abc: 2.737 2.737 18.051
angles: 90.00 90.00 90.00
Fractional positions:
V 0.000 0.000 0.000
V 0.000 0.000 0.205
V 0.000 0.000 0.409
V 0.000 0.000 0.591
V 0.000 0.000 0.795
Co 0.500 0.500 0.500
Ir 0.500 0.500 0.102
Ir 0.500 0.500 0.308
Ir 0.500 0.500 0.692
Ir 0.500 0.500 0.898


Below is a relaxed V4CoIr4 crystal, with properties calculated at the PBE level.

Calculated values
ΔE_f: -37.96 kJ/mol of atoms
theoretical density: 13.94 g/cm3
raw total energy: -82.57 eV for the cell shown
space-group type: I4/mmm, No. 139

abc: 6.052 6.052 6.052
angles: 95.37 95.37 144.38
Fractional positions:
V 0.000 0.320 0.320
V 0.000 0.680 0.680
V 0.320 0.000 0.320
V 0.680 0.000 0.680
Co 0.000 0.000 0.000
Ir 0.336 0.336 0.672
Ir 0.336 0.664 0.000
Ir 0.664 0.336 0.000
Ir 0.664 0.664 0.328


Below is a relaxed V4Co2Ir5 crystal, with properties calculated at the PBE level.

Calculated values
ΔE_f: -11.39 kJ/mol of atoms
theoretical density: 13.93 g/cm3
raw total energy: -96.29 eV for the cell shown
space-group type: C2/m, No. 12

abc: 9.160 9.160 6.205
angles: 94.75 94.75 17.14
Fractional positions:
V 0.044 0.044 0.352
V 0.404 0.404 0.304
V 0.596 0.596 0.696
V 0.956 0.956 0.648
Co 0.272 0.272 0.162
Co 0.728 0.728 0.838
Ir 0.132 0.132 0.041
Ir 0.184 0.184 0.483
Ir 0.500 0.500 0.000
Ir 0.816 0.816 0.517
Ir 0.868 0.868 0.959


Below is a relaxed V3CoIr6 crystal, with properties calculated at the PBE level.

Calculated values
ΔE_f: -39.86 kJ/mol of atoms
theoretical density: 16.46 g/cm3
raw total energy: -183.52 eV for the cell shown
space-group type: P2_1/m, No. 11

abc: 7.216 4.313 9.409
angles: 90.00 109.87 90.00
Fractional positions:
V 0.089 0.250 0.236
V 0.298 0.250 0.029
V 0.311 0.750 0.372
V 0.689 0.250 0.628
V 0.702 0.750 0.971
V 0.911 0.750 0.764
Co 0.094 0.750 0.566
Co 0.906 0.250 0.434
Ir 0.089 0.250 0.723
Ir 0.107 0.750 0.072
Ir 0.285 0.250 0.527
Ir 0.297 0.750 0.865
Ir 0.498 0.250 0.331
Ir 0.500 0.250 0.834
Ir 0.500 0.750 0.166
Ir 0.502 0.750 0.669
Ir 0.703 0.250 0.135
Ir 0.715 0.750 0.473
Ir 0.893 0.250 0.928
Ir 0.911 0.750 0.277


Below is a relaxed V4CoIr crystal, with properties calculated at the PBE level.

Calculated values
ΔE_f: 22.35 kJ/mol of atoms
theoretical density: 8.21 g/cm3
raw total energy: -51.05 eV for the cell shown
space-group type: P2/m, No. 10

abc: 4.183 3.878 5.735
angles: 90.00 98.68 90.00
Fractional positions:
V 0.001 0.000 0.227
V 0.455 0.500 0.237
V 0.545 0.500 0.763
V 0.999 0.000 0.773
Co 0.500 0.000 0.000
Ir 0.000 0.500 0.500


Below is a relaxed V2CoIr2 crystal, with properties calculated at the PBE level.

Calculated values
ΔE_f: -19.30 kJ/mol of atoms
theoretical density: 13.57 g/cm3
offset from the most stable computed form: 72 meV per atom
raw total energy: -44.07 eV for the cell shown
space-group type: R-3m, No. 166

abc: 4.964 4.964 4.964
angles: 50.31 50.31 50.31
Fractional positions:
V 0.198 0.198 0.198
V 0.802 0.802 0.802
Co 0.000 0.000 0.000
Ir 0.395 0.395 0.395
Ir 0.605 0.605 0.605


Below is a relaxed V2CoIr2 crystal, with properties calculated at the PBE level.

Calculated values
ΔE_f: -13.69 kJ/mol of atoms
theoretical density: 12.55 g/cm3
offset from the most stable computed form: 130 meV per atom
raw total energy: -87.55 eV for the cell shown
space-group type: P4/mbm, No. 127

abc: 7.191 7.191 2.789
angles: 90.00 90.00 90.00
Fractional positions:
V 0.163 0.337 0.000
V 0.337 0.837 0.000
V 0.663 0.163 0.000
V 0.837 0.663 0.000
Co 0.000 0.000 0.500
Co 0.500 0.500 0.500
Ir 0.137 0.637 0.500
Ir 0.363 0.137 0.500
Ir 0.637 0.863 0.500
Ir 0.863 0.363 0.500


Below is a relaxed V2CoIr crystal, with properties calculated at the PBE level.

Calculated values
ΔE_f: -28.17 kJ/mol of atoms
theoretical density: 11.36 g/cm3
raw total energy: -35.37 eV for the cell shown
space-group type: P4/mmm, No. 123

abc: 2.698 2.698 7.089
angles: 90.00 90.00 90.00
Fractional positions:
V 0.000 0.000 0.235
V 0.000 0.000 0.765
Co 0.500 0.500 0.000
Ir 0.500 0.500 0.500


Below is a relaxed V4CoIr7 crystal, with properties calculated at the PBE level.

Calculated values
ΔE_f: 4.42 kJ/mol of atoms
theoretical density: 14.44 g/cm3
raw total energy: -105.06 eV for the cell shown
space-group type: C2/m, No. 12

abc: 6.351 6.351 9.022
angles: 125.72 125.72 40.49
Fractional positions:
V 0.078 0.078 0.290
V 0.214 0.214 0.842
V 0.786 0.786 0.158
V 0.922 0.922 0.710
Co 0.500 0.500 0.500
Ir 0.000 0.000 0.500
Ir 0.145 0.145 0.080
Ir 0.288 0.288 0.641
Ir 0.422 0.422 0.172
Ir 0.578 0.578 0.828
Ir 0.712 0.712 0.359
Ir 0.855 0.855 0.920


Below is a relaxed V2CoIr crystal, with properties calculated at the PBE level.

Calculated values
ΔE_f: -31.50 kJ/mol of atoms
theoretical density: 11.37 g/cm3
raw total energy: -35.51 eV for the cell shown
space-group type: P4/mmm, No. 123

abc: 3.765 3.765 3.636
angles: 90.00 90.00 90.00
Fractional positions:
V 0.000 0.500 0.000
V 0.500 0.000 0.000
Co 0.000 0.000 0.500
Ir 0.500 0.500 0.500


Below is a relaxed V2Co3Ir crystal, with properties calculated at the PBE level.

Calculated values
ΔE_f: 0.83 kJ/mol of atoms
theoretical density: 10.27 g/cm3
offset from the most stable computed form: 143 meV per atom
raw total energy: -193.46 eV for the cell shown
space-group type: I4_1/amd, No. 141

abc: 7.489 7.489 7.489
angles: 118.18 118.18 93.18
Fractional positions:
V 0.278 0.350 0.572
V 0.278 0.706 0.928
V 0.294 0.722 0.572
V 0.350 0.278 0.072
V 0.650 0.722 0.928
V 0.706 0.278 0.428
V 0.722 0.294 0.072
V 0.722 0.650 0.428
Co 0.000 0.500 0.500
Co 0.087 0.337 0.174
Co 0.087 0.913 0.750
Co 0.337 0.087 0.674
Co 0.337 0.663 0.250
Co 0.500 0.000 0.000
Co 0.500 0.500 0.000
Co 0.500 0.500 0.500
Co 0.663 0.337 0.750
Co 0.663 0.913 0.326
Co 0.913 0.087 0.250
Co 0.913 0.663 0.826
Ir 0.062 0.312 0.750
Ir 0.312 0.062 0.250
Ir 0.688 0.938 0.750
Ir 0.938 0.688 0.250


Below is a relaxed V6CoIr5 crystal, with properties calculated at the PBE level.

Calculated values
ΔE_f: -42.36 kJ/mol of atoms
theoretical density: 13.48 g/cm3
raw total energy: -111.39 eV for the cell shown
space-group type: Immm, No. 71

abc: 7.128 7.128 7.128
angles: 148.65 118.46 70.69
Fractional positions:
V 0.083 0.336 0.747
V 0.244 0.000 0.244
V 0.410 0.664 0.747
V 0.590 0.336 0.253
V 0.756 0.000 0.756
V 0.917 0.664 0.253
Co 0.000 0.500 0.500
Ir 0.161 0.161 0.000
Ir 0.331 0.831 0.500
Ir 0.500 0.500 0.000
Ir 0.669 0.169 0.500
Ir 0.839 0.839 0.000


Below is a relaxed VCoIr2 crystal, with properties calculated at the PBE level.

Calculated values
ΔE_f: -11.27 kJ/mol of atoms
theoretical density: 15.20 g/cm3
raw total energy: -34.41 eV for the cell shown
space-group type: Fm-3m, No. 225

abc: 4.243 4.243 4.243
angles: 60.00 60.00 60.00
Fractional positions:
V 0.000 0.000 0.000
Co 0.500 0.500 0.500
Ir 0.250 0.250 0.250
Ir 0.750 0.750 0.750


Below is a relaxed V9Co4Ir11 crystal, with properties calculated at the PBE level.

Calculated values
ΔE_f: -27.41 kJ/mol of atoms
theoretical density: 14.25 g/cm3
raw total energy: -214.78 eV for the cell shown
space-group type: Cmmm, No. 65

abc: 9.775 9.775 3.700
angles: 90.00 90.00 112.21
Fractional positions:
V 0.000 0.000 0.000
V 0.122 0.634 0.000
V 0.287 0.453 0.000
V 0.366 0.878 0.000
V 0.453 0.287 0.000
V 0.547 0.713 0.000
V 0.634 0.122 0.000
V 0.713 0.547 0.000
V 0.878 0.366 0.000
Co 0.052 0.242 0.000
Co 0.242 0.052 0.000
Co 0.758 0.948 0.000
Co 0.948 0.758 0.000
Ir 0.085 0.417 0.500
Ir 0.152 0.848 0.500
Ir 0.241 0.241 0.500
Ir 0.329 0.671 0.500
Ir 0.417 0.085 0.500
Ir 0.500 0.500 0.500
Ir 0.583 0.915 0.500
Ir 0.671 0.329 0.500
Ir 0.759 0.759 0.500
Ir 0.848 0.152 0.500
Ir 0.915 0.583 0.500


Below is a relaxed VCoIr2 crystal, with properties calculated at the PBE level.

Calculated values
ΔE_f: 25.66 kJ/mol of atoms
theoretical density: 13.98 g/cm3
raw total energy: -65.77 eV for the cell shown
space-group type: I-42d, No. 122

abc: 8.856 8.856 8.856
angles: 155.71 155.71 34.62
Fractional positions:
V 0.000 0.000 0.000
V 0.750 0.250 0.500
Co 0.250 0.750 0.500
Co 0.500 0.500 0.000
Ir 0.141 0.625 0.016
Ir 0.375 0.391 0.516
Ir 0.609 0.125 0.984
Ir 0.875 0.859 0.484


Below is a relaxed V2Co3Ir crystal, with properties calculated at the PBE level.

Calculated values
ΔE_f: -13.01 kJ/mol of atoms
theoretical density: 10.67 g/cm3
offset from the most stable computed form: 0 meV per atom
raw total energy: -98.45 eV for the cell shown
space-group type: C2/m, No. 12

abc: 6.312 6.312 6.924
angles: 119.47 119.47 38.50
Fractional positions:
V 0.027 0.027 0.200
V 0.298 0.298 0.434
V 0.702 0.702 0.566
V 0.973 0.973 0.800
Co 0.116 0.116 0.581
Co 0.202 0.202 0.994
Co 0.458 0.458 0.294
Co 0.542 0.542 0.706
Co 0.798 0.798 0.006
Co 0.884 0.884 0.419
Ir 0.362 0.362 0.849
Ir 0.638 0.638 0.151


Below is a relaxed V2CoIr crystal, with properties calculated at the PBE level.

Calculated values
ΔE_f: -23.89 kJ/mol of atoms
theoretical density: 11.32 g/cm3
raw total energy: -70.39 eV for the cell shown
space-group type: P2_1/m, No. 11

abc: 2.653 4.155 9.445
angles: 90.00 95.79 90.00
Fractional positions:
V 0.004 0.250 0.351
V 0.293 0.250 0.809
V 0.707 0.750 0.191
V 0.996 0.750 0.649
Co 0.435 0.750 0.420
Co 0.565 0.250 0.580
Ir 0.264 0.250 0.089
Ir 0.736 0.750 0.911


Below is a relaxed VCo5Ir6 crystal, with properties calculated at the PBE level.

Calculated values
ΔE_f: -8.71 kJ/mol of atoms
theoretical density: 16.12 g/cm3
raw total energy: -98.90 eV for the cell shown
space-group type: Immm, No. 71

abc: 6.970 6.970 6.970
angles: 148.53 117.56 71.61
Fractional positions:
V 0.000 0.000 0.000
Co 0.163 0.663 0.500
Co 0.334 0.334 0.000
Co 0.500 0.000 0.500
Co 0.666 0.666 0.000
Co 0.837 0.337 0.500
Ir 0.082 0.833 0.250
Ir 0.251 0.500 0.751
Ir 0.417 0.167 0.250
Ir 0.583 0.833 0.750
Ir 0.749 0.500 0.249
Ir 0.918 0.167 0.750


Below is a relaxed V2CoIr crystal, with properties calculated at the PBE level.

Calculated values
ΔE_f: 20.82 kJ/mol of atoms
theoretical density: 10.57 g/cm3
raw total energy: -66.68 eV for the cell shown
space-group type: I-42d, No. 122

abc: 5.311 5.311 5.311
angles: 103.45 103.45 122.32
Fractional positions:
V 0.109 0.625 0.984
V 0.375 0.359 0.484
V 0.641 0.125 0.016
V 0.875 0.891 0.516
Co 0.000 0.000 0.000
Co 0.750 0.250 0.500
Ir 0.250 0.750 0.500
Ir 0.500 0.500 0.000


Below is a relaxed V3CoIr2 crystal, with properties calculated at the PBE level.

Calculated values
ΔE_f: -27.27 kJ/mol of atoms
theoretical density: 12.35 g/cm3
raw total energy: -107.76 eV for the cell shown
space-group type: Cmmm, No. 65

abc: 6.612 6.612 6.201
angles: 90.00 90.00 143.75
Fractional positions:
V 0.000 0.000 0.245
V 0.000 0.000 0.755
V 0.317 0.683 0.293
V 0.317 0.683 0.707
V 0.683 0.317 0.293
V 0.683 0.317 0.707
Co 0.135 0.865 0.500
Co 0.865 0.135 0.500
Ir 0.172 0.828 0.000
Ir 0.500 0.500 0.000
Ir 0.500 0.500 0.500
Ir 0.828 0.172 0.000


Below is a relaxed V4CoIr5 crystal, with properties calculated at the PBE level.

Calculated values
ΔE_f: -37.29 kJ/mol of atoms
theoretical density: 14.80 g/cm3
raw total energy: -91.75 eV for the cell shown
space-group type: P4/mmm, No. 123

abc: 2.734 2.734 18.362
angles: 90.00 90.00 90.00
Fractional positions:
V 0.000 0.000 0.101
V 0.000 0.000 0.303
V 0.000 0.000 0.697
V 0.000 0.000 0.899
Co 0.000 0.000 0.500
Ir 0.500 0.500 0.000
Ir 0.500 0.500 0.202
Ir 0.500 0.500 0.403
Ir 0.500 0.500 0.597
Ir 0.500 0.500 0.798


Below is a relaxed V2CoIr2 crystal, with properties calculated at the PBE level.

Calculated values
ΔE_f: -26.25 kJ/mol of atoms
theoretical density: 13.14 g/cm3
offset from the most stable computed form: 0 meV per atom
raw total energy: -88.85 eV for the cell shown
space-group type: Ibam, No. 72

abc: 6.583 6.583 6.583
angles: 132.41 65.02 138.41
Fractional positions:
V 0.175 0.180 0.354
V 0.325 0.680 0.005
V 0.675 0.320 0.995
V 0.825 0.820 0.646
Co 0.250 0.250 0.000
Co 0.750 0.750 0.000
Ir 0.106 0.654 0.760
Ir 0.394 0.154 0.547
Ir 0.606 0.846 0.453
Ir 0.894 0.346 0.240